The following is a DFT calculation (PBE) of an optimized crystal structure of MnZn2Au4.

* spin magnetization: 4.2 μB per cell
* Fermi-level density of states: 3.1 states/eV per cell
* final energy: -3.629 eV per atom
* DFT formation energy: -0.0827 eV per atom
* SG: No. 139

CIF file:
```
data_MnZn2Au4
_cell_length_a 5.5029
_cell_length_b 5.5029
_cell_length_c 5.5029
_cell_angle_alpha 114.54
_cell_angle_beta 114.54
_cell_angle_gamma 99.75
_space_group_name_H-M_alt 'P 1'
_space_group_IT_number 1
_space_group_name_Hall 'P 1'
loop_
_atom_site_label
_atom_site_type_symbol
_atom_site_fract_x
_atom_site_fract_y
_atom_site_fract_z
Mn1 Mn 0.0000 0.0000 0.0000
Zn1 Zn 0.0000 0.5000 0.5000
Zn2 Zn 0.5000 0.0000 0.5000
Au1 Au 0.0000 0.0000 0.5000
Au2 Au 0.0000 0.5000 0.0000
Au3 Au 0.5000 0.0000 0.0000
Au4 Au 0.5000 0.5000 0.5000
```